Record 1
Computed, not measured: a geometry-optimized Rb2SmMgCl6 structure at the PBE level of DFT.

Total DFT energy (no corrections) in eV per atom: -3.79
Energy relative to the elements, uncorrected in eV/atom: -1.86
D(E_F) in states/eV per atom: 0.575
Symmetry: Pmmn (59)

a b c (Å): 7.489 10.585 7.477
angles (deg): 90.00 90.00 90.00
Element x y z (fractional)
Rb: 0.250 0.000 0.249
Rb: 0.250 0.500 0.249
Rb: 0.750 0.000 0.751
Rb: 0.750 0.500 0.751
Sm: 0.250 0.250 0.749
Sm: 0.750 0.750 0.251
Mg: 0.250 0.750 0.751
Mg: 0.750 0.250 0.249
Cl: 0.012 0.750 0.513
Cl: 0.012 0.750 0.989
Cl: 0.250 0.512 0.751
Cl: 0.250 0.988 0.751
Cl: 0.488 0.750 0.513
Cl: 0.488 0.750 0.989
Cl: 0.512 0.250 0.011
Cl: 0.512 0.250 0.487
Cl: 0.750 0.012 0.249
Cl: 0.750 0.488 0.249
Cl: 0.988 0.250 0.011
Cl: 0.988 0.250 0.487

***

Record 2
Computed, not measured: a geometry-optimized YIr3W structure at the PBE level of DFT.

Total DFT energy (no corrections) in eV per atom: -8.59
DFT formation energy in eV per atom: 0.61
D(E_F) in states/eV per atom: 0.844
Symmetry: Pm-3m (221)
Energy above the most stable polymorph in this dataset in meV/atom: 0.0

a b c (Å): 4.781 4.781 4.781
angles (deg): 90.00 90.00 90.00
Element x y z (fractional)
Y: 0.000 0.000 0.000
Ir: 0.000 0.500 0.500
Ir: 0.500 0.000 0.500
Ir: 0.500 0.500 0.000
W: 0.500 0.500 0.500

***

Record 3
Computed, not measured: a geometry-optimized Li4Tb3AlS8 structure at the PBE level of DFT.

Total DFT energy (no corrections) in eV per atom: -5.28
Energy relative to the elements, uncorrected in eV/atom: -1.64
Symmetry: R-3m (166)

a b c (Å): 7.583 7.583 7.583
angles (deg): 60.80 60.80 60.80
Element x y z (fractional)
Li: 0.000 0.000 0.000
Li: 0.000 0.500 0.500
Li: 0.500 0.000 0.500
Li: 0.500 0.500 0.000
Tb: 0.000 0.000 0.500
Tb: 0.000 0.500 0.000
Tb: 0.500 0.000 0.000
Al: 0.500 0.500 0.500
S: 0.251 0.251 0.251
S: 0.265 0.265 0.727
S: 0.265 0.727 0.265
S: 0.273 0.735 0.735
S: 0.727 0.265 0.265
S: 0.735 0.273 0.735
S: 0.735 0.735 0.273
S: 0.749 0.749 0.749

***

Record 4
Computed, not measured: a geometry-optimized InAgHg2Br4 structure at the PBE level of DFT.

Total DFT energy (no corrections) in eV per atom: -2.08
Energy relative to the elements, uncorrected in eV/atom: -0.47
D(E_F) in states/eV per atom: 0.000
Symmetry: P1 (1)

a b c (Å): 7.073 7.340 8.036
angles (deg): 92.98 114.96 118.64
Element x y z (fractional)
In: 0.000 0.000 0.000
Ag: 0.657 0.340 0.980
Hg: 0.560 0.758 0.364
Hg: 0.987 0.537 0.382
Br: 0.203 0.278 0.849
Br: 0.260 0.129 0.361
Br: 0.566 0.936 0.880
Br: 0.916 0.634 0.845

***

Record 5
Computed, not measured: a geometry-optimized CeYErAl structure at the PBE level of DFT.

Total DFT energy (no corrections) in eV per atom: -5.22
DFT formation energy in eV per atom: -0.05
D(E_F) in states/eV per atom: 2.023
Symmetry: F-43m (216)

a b c (Å): 7.533 7.533 7.533
angles (deg): 90.00 90.00 90.00
Element x y z (fractional)
Ce: 0.000 0.000 0.000
Ce: 0.000 0.500 0.500
Ce: 0.500 0.000 0.500
Ce: 0.500 0.500 0.000
Y: 0.000 0.000 0.500
Y: 0.000 0.500 0.000
Y: 0.500 0.000 0.000
Y: 0.500 0.500 0.500
Er: 0.250 0.250 0.250
Er: 0.250 0.750 0.750
Er: 0.750 0.250 0.750
Er: 0.750 0.750 0.250
Al: 0.250 0.250 0.750
Al: 0.250 0.750 0.250
Al: 0.750 0.250 0.250
Al: 0.750 0.750 0.750

***

Record 6
Computed, not measured: a geometry-optimized MgZrAg3 structure at the PBE level of DFT.

Total DFT energy (no corrections) in eV per atom: -2.73
DFT formation energy in eV per atom: 1.01
D(E_F) in states/eV per atom: 0.865
Symmetry: Pm-3m (221)
Energy above the most stable polymorph in this dataset in meV/atom: 391.2

a b c (Å): 5.281 5.281 5.281
angles (deg): 90.00 90.00 90.00
Element x y z (fractional)
Mg: 0.000 0.000 0.000
Zr: 0.500 0.500 0.500
Ag: 0.000 0.500 0.500
Ag: 0.500 0.000 0.500
Ag: 0.500 0.500 0.000

***

Record 7
Computed, not measured: a geometry-optimized CuAgRu structure at the PBE level of DFT.

Total DFT energy (no corrections) in eV per atom: -4.90
DFT formation energy in eV per atom: 0.51
D(E_F) in states/eV per atom: 1.360
Symmetry: Imm2 (44)
Energy above the most stable polymorph in this dataset in meV/atom: 352.7

a b c (Å): 2.629 3.885 8.693
angles (deg): 90.00 90.00 90.00
Element x y z (fractional)
Cu: 0.000 0.000 0.000
Cu: 0.500 0.500 0.500
Ag: 0.000 0.000 0.328
Ag: 0.500 0.500 0.828
Ru: 0.000 0.000 0.647
Ru: 0.500 0.500 0.147

***

Record 8
Computed, not measured: a geometry-optimized Na2Cu12As7 structure at the PBE level of DFT.

Total DFT energy (no corrections) in eV per atom: -4.08
DFT formation energy in eV per atom: -0.06
D(E_F) in states/eV per atom: 0.455
Symmetry: P-3 (147)

a b c (Å): 9.711 9.711 4.060
angles (deg): 90.00 90.00 120.00
Element x y z (fractional)
Na: 0.333 0.667 0.239
Na: 0.667 0.333 0.761
Cu: 0.049 0.427 0.776
Cu: 0.118 0.256 0.198
Cu: 0.138 0.882 0.198
Cu: 0.256 0.138 0.802
Cu: 0.378 0.951 0.776
Cu: 0.427 0.378 0.224
Cu: 0.573 0.622 0.776
Cu: 0.622 0.049 0.224
Cu: 0.744 0.862 0.198
Cu: 0.862 0.118 0.802
Cu: 0.882 0.744 0.802
Cu: 0.951 0.573 0.224
As: 0.000 0.000 0.500
As: 0.118 0.706 0.727
As: 0.294 0.412 0.727
As: 0.412 0.118 0.273
As: 0.588 0.882 0.727
As: 0.706 0.588 0.273
As: 0.882 0.294 0.273

***

Record 9
Computed, not measured: a geometry-optimized Mg3Bi2 structure at the PBE level of DFT.

Total DFT energy (no corrections) in eV per atom: -2.71
DFT formation energy in eV per atom: -0.20
D(E_F) in states/eV per atom: 0.037
Symmetry: Ia-3 (206)
Energy above the most stable polymorph in this dataset in meV/atom: 10.7

a b c (Å): 11.922 11.922 11.922
angles (deg): 109.47 109.47 109.47
Element x y z (fractional)
Mg: 0.005 0.487 0.745
Mg: 0.013 0.018 0.258
Mg: 0.018 0.258 0.013
Mg: 0.240 0.482 0.495
Mg: 0.242 0.260 0.755
Mg: 0.245 0.758 0.740
Mg: 0.255 0.995 0.513
Mg: 0.258 0.013 0.018
Mg: 0.260 0.755 0.242
Mg: 0.482 0.495 0.240
Mg: 0.487 0.745 0.005
Mg: 0.495 0.240 0.482
Mg: 0.505 0.760 0.518
Mg: 0.513 0.255 0.995
Mg: 0.518 0.505 0.760
Mg: 0.740 0.245 0.758
Mg: 0.742 0.987 0.982
Mg: 0.745 0.005 0.487
Mg: 0.755 0.242 0.260
Mg: 0.758 0.740 0.245
Mg: 0.760 0.518 0.505
Mg: 0.982 0.742 0.987
Mg: 0.987 0.982 0.742
Mg: 0.995 0.513 0.255
Bi: 0.000 0.000 0.000
Bi: 0.000 0.500 0.500
Bi: 0.012 0.762 0.250
Bi: 0.238 0.750 0.988
Bi: 0.250 0.012 0.762
Bi: 0.250 0.512 0.262
Bi: 0.262 0.250 0.512
Bi: 0.488 0.738 0.750
Bi: 0.500 0.000 0.500
Bi: 0.500 0.500 0.000
Bi: 0.512 0.262 0.250
Bi: 0.738 0.750 0.488
Bi: 0.750 0.488 0.738
Bi: 0.750 0.988 0.238
Bi: 0.762 0.250 0.012
Bi: 0.988 0.238 0.750

***

Record 10
Computed, not measured: a geometry-optimized Ce2SmThS4 structure at the PBE level of DFT.

Total DFT energy (no corrections) in eV per atom: -7.06
Energy relative to the elements, uncorrected in eV/atom: -1.99
D(E_F) in states/eV per atom: 1.384
Symmetry: P2/m (10)

a b c (Å): 6.948 4.030 6.979
angles (deg): 90.00 109.53 90.00
Element x y z (fractional)
Ce: 0.000 0.000 0.000
Ce: 0.000 0.500 0.500
Sm: 0.500 0.000 0.500
Th: 0.500 0.500 0.000
S: 0.249 0.000 0.747
S: 0.251 0.500 0.252
S: 0.749 0.500 0.748
S: 0.751 0.000 0.253

***

Record 11
Computed, not measured: a geometry-optimized Pm6NdDyTh2 structure at the PBE level of DFT.

Total DFT energy (no corrections) in eV per atom: -5.12
DFT formation energy in eV per atom: 0.15
D(E_F) in states/eV per atom: 1.496
Symmetry: C2/c (15)

a b c (Å): 8.786 8.786 10.284
angles (deg): 96.31 96.31 117.90
Element x y z (fractional)
Pm: 0.016 0.567 0.176
Pm: 0.109 0.739 0.549
Pm: 0.261 0.891 0.951
Pm: 0.309 0.511 0.383
Pm: 0.433 0.984 0.324
Pm: 0.489 0.691 0.117
Pm: 0.511 0.309 0.883
Pm: 0.567 0.016 0.676
Pm: 0.691 0.489 0.617
Pm: 0.739 0.109 0.049
Pm: 0.891 0.261 0.451
Pm: 0.984 0.433 0.824
Nd: 0.010 0.990 0.250
Nd: 0.990 0.010 0.750
Dy: 0.405 0.595 0.750
Dy: 0.595 0.405 0.250
Th: 0.182 0.273 0.042
Th: 0.273 0.182 0.542
Th: 0.727 0.818 0.458
Th: 0.818 0.727 0.958

***

Record 12
Computed, not measured: a geometry-optimized Th4UC5 structure at the PBE level of DFT.

Total DFT energy (no corrections) in eV per atom: -8.97
DFT formation energy in eV per atom: -0.26
D(E_F) in states/eV per atom: 0.672
Symmetry: I4 (79)

a b c (Å): 6.452 6.452 6.452
angles (deg): 99.56 99.56 131.89
Element x y z (fractional)
Th: 0.101 0.701 0.802
Th: 0.299 0.101 0.400
Th: 0.701 0.899 0.600
Th: 0.899 0.299 0.198
U: 0.492 0.492 0.000
C: 0.031 0.031 0.000
C: 0.230 0.408 0.639
C: 0.408 0.770 0.178
C: 0.591 0.230 0.822
C: 0.770 0.591 0.361

***

Record 13
Computed, not measured: a geometry-optimized Pr2U3Se8 structure at the PBE level of DFT.

Total DFT energy (no corrections) in eV per atom: -6.84
Energy relative to the elements, uncorrected in eV/atom: -1.36
D(E_F) in states/eV per atom: 1.430
Symmetry: Cmmm (65)
Energy above the most stable polymorph in this dataset in meV/atom: 8.5

a b c (Å): 8.711 8.711 4.980
angles (deg): 90.00 90.00 110.60
Element x y z (fractional)
Pr: 0.233 0.767 0.000
Pr: 0.767 0.233 0.000
U: 0.235 0.235 0.500
U: 0.500 0.500 0.000
U: 0.765 0.765 0.500
Se: 0.122 0.878 0.500
Se: 0.143 0.382 0.000
Se: 0.382 0.143 0.000
Se: 0.387 0.613 0.500
Se: 0.613 0.387 0.500
Se: 0.618 0.857 0.000
Se: 0.857 0.618 0.000
Se: 0.878 0.122 0.500

***

Record 14
Computed, not measured: a geometry-optimized Ge4Se5Br2 structure at the PBE level of DFT.

Total DFT energy (no corrections) in eV per atom: -3.69
Energy relative to the elements, uncorrected in eV/atom: -0.12
D(E_F) in states/eV per atom: 0.391
Symmetry: C2/m (12)

a b c (Å): 7.943 7.943 9.027
angles (deg): 124.17 124.17 43.55
Element x y z (fractional)
Ge: 0.140 0.140 0.490
Ge: 0.174 0.174 0.020
Ge: 0.826 0.826 0.980
Ge: 0.860 0.860 0.510
Se: 0.000 0.000 0.000
Se: 0.113 0.600 0.257
Se: 0.400 0.887 0.743
Se: 0.600 0.113 0.257
Se: 0.887 0.400 0.743
Br: 0.349 0.349 0.644
Br: 0.651 0.651 0.356

***

Record 15
Computed, not measured: a geometry-optimized CdInTc2Ni structure at the PBE level of DFT.

Total DFT energy (no corrections) in eV per atom: -5.00
DFT formation energy in eV per atom: 1.03
D(E_F) in states/eV per atom: 1.164
Symmetry: P4/mmm (123)

a b c (Å): 4.579 4.579 4.734
angles (deg): 90.00 90.00 90.00
Element x y z (fractional)
Cd: 0.000 0.000 0.000
In: 0.500 0.500 0.000
Tc: 0.000 0.500 0.500
Tc: 0.500 0.000 0.500
Ni: 0.000 0.000 0.500

***

Record 16
Computed, not measured: a geometry-optimized PrEuRhAu structure at the PBE level of DFT.

Total DFT energy (no corrections) in eV per atom: -7.05
DFT formation energy in eV per atom: -0.63
D(E_F) in states/eV per atom: 2.287
Symmetry: F-43m (216)

a b c (Å): 7.279 7.279 7.279
angles (deg): 90.00 90.00 90.00
Element x y z (fractional)
Pr: 0.000 0.000 0.000
Pr: 0.000 0.500 0.500
Pr: 0.500 0.000 0.500
Pr: 0.500 0.500 0.000
Eu: 0.000 0.000 0.500
Eu: 0.000 0.500 0.000
Eu: 0.500 0.000 0.000
Eu: 0.500 0.500 0.500
Rh: 0.250 0.250 0.750
Rh: 0.250 0.750 0.250
Rh: 0.750 0.250 0.250
Rh: 0.750 0.750 0.750
Au: 0.250 0.250 0.250
Au: 0.250 0.750 0.750
Au: 0.750 0.250 0.750
Au: 0.750 0.750 0.250

***

Record 17
Computed, not measured: a geometry-optimized Ce3Pm2Sb3 structure at the PBE level of DFT.

Total DFT energy (no corrections) in eV per atom: -5.78
Energy relative to the elements, uncorrected in eV/atom: -0.82
D(E_F) in states/eV per atom: 3.201
Symmetry: P6_3/mcm (193)

a b c (Å): 9.293 9.293 6.482
angles (deg): 90.00 90.00 120.00
Element x y z (fractional)
Ce: 0.000 0.252 0.250
Ce: 0.000 0.748 0.750
Ce: 0.252 0.000 0.250
Ce: 0.252 0.252 0.750
Ce: 0.748 0.000 0.750
Ce: 0.748 0.748 0.250
Pm: 0.333 0.667 0.000
Pm: 0.333 0.667 0.500
Pm: 0.667 0.333 0.000
Pm: 0.667 0.333 0.500
Sb: 0.000 0.386 0.750
Sb: 0.000 0.614 0.250
Sb: 0.386 0.000 0.750
Sb: 0.386 0.386 0.250
Sb: 0.614 0.000 0.250
Sb: 0.614 0.614 0.750

***

Record 18
Computed, not measured: a geometry-optimized Li4Ag2Pb structure at the PBE level of DFT.

Total DFT energy (no corrections) in eV per atom: -2.29
DFT formation energy in eV per atom: 0.15
D(E_F) in states/eV per atom: 0.507
Symmetry: I4/mmm (139)
Energy above the most stable polymorph in this dataset in meV/atom: 342.9

a b c (Å): 5.056 5.056 13.546
angles (deg): 90.00 90.00 90.00
Element x y z (fractional)
Li: 0.000 0.000 0.202
Li: 0.000 0.000 0.798
Li: 0.000 0.500 0.000
Li: 0.000 0.500 0.500
Li: 0.500 0.000 0.000
Li: 0.500 0.000 0.500
Li: 0.500 0.500 0.298
Li: 0.500 0.500 0.702
Ag: 0.000 0.000 0.398
Ag: 0.000 0.000 0.602
Ag: 0.500 0.500 0.102
Ag: 0.500 0.500 0.898
Pb: 0.000 0.000 0.000
Pb: 0.500 0.500 0.500

***

Record 19
Computed, not measured: a geometry-optimized La2TmRh structure at the PBE level of DFT.

Total DFT energy (no corrections) in eV per atom: -5.53
DFT formation energy in eV per atom: -0.11
D(E_F) in states/eV per atom: 1.436
Symmetry: R-3m (166)
Energy above the most stable polymorph in this dataset in meV/atom: 355.6

a b c (Å): 3.781 3.781 31.825
angles (deg): 90.00 90.00 120.00
Element x y z (fractional)
La: 0.000 0.000 0.110
La: 0.000 0.000 0.890
La: 0.333 0.667 0.557
La: 0.333 0.667 0.776
La: 0.667 0.333 0.224
La: 0.667 0.333 0.443
Tm: 0.000 0.000 0.000
Tm: 0.333 0.667 0.667
Tm: 0.667 0.333 0.333
Rh: 0.000 0.000 0.500
Rh: 0.333 0.667 0.167
Rh: 0.667 0.333 0.833

***

Record 20
Computed, not measured: a geometry-optimized As2PPdBr structure at the PBE level of DFT.

Total DFT energy (no corrections) in eV per atom: -3.47
Energy relative to the elements, uncorrected in eV/atom: 0.84
D(E_F) in states/eV per atom: 1.234
Symmetry: P4/mmm (123)
Energy above the most stable polymorph in this dataset in meV/atom: 42.1

a b c (Å): 4.895 4.895 4.966
angles (deg): 90.00 90.00 90.00
Element x y z (fractional)
As: 0.000 0.500 0.000
As: 0.500 0.000 0.000
P: 0.000 0.000 0.500
Pd: 0.500 0.500 0.000
Br: 0.500 0.500 0.500

***

Record 21
Computed, not measured: a geometry-optimized SrSi8 structure at the PBE level of DFT.

Total DFT energy (no corrections) in eV per atom: -4.68
Energy relative to the elements, uncorrected in eV/atom: 0.32
D(E_F) in states/eV per atom: 0.516
Symmetry: I4/mmm (139)

a b c (Å): 6.532 6.532 6.532
angles (deg): 97.92 97.92 136.41
Element x y z (fractional)
Sr: 0.000 0.000 0.000
Si: 0.000 0.367 0.367
Si: 0.000 0.633 0.633
Si: 0.275 0.275 0.551
Si: 0.275 0.725 0.000
Si: 0.367 0.000 0.367
Si: 0.633 0.000 0.633
Si: 0.725 0.275 0.000
Si: 0.725 0.725 0.449